This record from Alexandria describes an optimized crystal structure of YWO2F. The functional is PBE with a Hubbard U.

Lattice parameters (Å, degrees): 4.4274 4.4274 4.2276 90.00 90.00 90.00
Last column: magnetic moment on the atom in μB.
Element x y z (fractional)
F  0.0000  0.0000  0.5000  0.04
O  0.0000  0.5000  0.0000  -0.10
Y  0.0000  0.0000  0.0000  0.01
O  0.5000  0.0000  0.0000  -0.10
W  0.5000  0.5000  0.5000  3.48

Properties
crystal system = tetragonal
DOS at the Fermi energy = 0.431 states/eV per atom
M_tot = 3.97 μB/cell
raw total energy = -6.6575 eV per atom